No. 1
First-principles (PBE) data for a geometry-optimized AlTl2PdPt structure, as listed in Alexandria.

a b c (Å): 5.2277 5.2277 4.5597
angles (deg): 90.00 90.00 90.00
With the nearest neighbours (Å) after each atom.
Element x y z (fractional)
Al 0.0000 0.0000 0.0000  2 Pd 2.28
Tl 0.0000 0.5000 0.0000  2 Al 2.61
Tl 0.5000 0.0000 0.0000  2 Al 2.61
Pd 0.0000 0.0000 0.5000  2 Al 2.28
Pt 0.5000 0.5000 0.5000  8 Tl 3.47, 4 Pd 3.70

Crystal system: tetragonal
Volume: 24.92 Å³ per atom
Space-group type: P4/mmm (123)
E: -0.24307 Ry per atom
Formation energy: 0.63 eV per atom

No. 2
First-principles (PBE) data for a geometry-optimized PrPuInO6 structure, as listed in Alexandria.

a b c (Å): 5.5764 5.5764 10.3359
angles (deg): 90.00 90.00 120.00
With the nearest neighbours (Å) after each atom.
Element x y z (fractional)
Pr 0.0000 0.0000 0.0000  6 O 2.43
Pr 0.0000 0.0000 0.5000  6 O 2.43
Pu 0.3333 0.6667 0.2500  6 O 2.08
Pu 0.6667 0.3333 0.7500  6 O 2.08
In 0.3333 0.6667 0.7500  6 O 2.21
In 0.6667 0.3333 0.2500  6 O 2.21
O 0.0168 0.3614 0.1382  1 Pu 2.08, 1 In 2.21
O 0.0168 0.6554 0.3618  1 Pu 2.08, 1 In 2.21
O 0.3446 0.3614 0.3618  1 Pu 2.08, 1 In 2.21
O 0.3446 0.9832 0.1382  1 Pu 2.08, 1 In 2.21
O 0.3614 0.0168 0.6382  1 Pu 2.08, 1 In 2.21
O 0.3614 0.3446 0.8618  1 Pu 2.08, 1 In 2.21
O 0.6386 0.6554 0.1382  1 Pu 2.08, 1 In 2.21
O 0.6386 0.9832 0.3618  1 Pu 2.08, 1 In 2.21
O 0.6554 0.0168 0.8618  1 Pu 2.08, 1 In 2.21
O 0.6554 0.6386 0.6382  1 Pu 2.08, 1 In 2.21
O 0.9832 0.3446 0.6382  1 Pu 2.08, 1 In 2.21
O 0.9832 0.6386 0.8618  1 Pu 2.08, 1 In 2.21

Crystal system: trigonal
Volume: 15.46 Å³ per atom
Space-group type: P-31c (163)
Formation energy (no corrections): -2.4503 eV/atom
E: -0.60148 Ry per atom